[1]
DFT (PBE) results for crystalline YTlAg at its relaxed geometry.

extended XYZ file:
```
3
Lattice="3.786 0.000 0.000 -1.893 3.279 0.000 0.000 0.000 6.525" Properties=species:S:1:pos:R:3 pbc="T T T"
Y 0.000 2.186 4.486
Ag 0.000 0.000 0.009
Tl 1.893 1.093 2.030
```

## Properties
**Space-group type**: P3m1 (156)
**ΔH_f (0 K)**: -0.06 eV/atom
**E_tot**: -11.9 eV per cell
**Fermi-level density of states**: 0.44 states/eV/atom

[2]
DFT (PBE) results for crystalline K2SbTe at its relaxed geometry.

extended XYZ file:
```
4
Lattice="-1.748 7.051 -0.100 -2.034 3.344 -6.120 -1.212 -5.312 4.806" Properties=species:S:1:pos:R:3 pbc="T T T"
K -2.390 3.371 0.855
K -0.090 0.247 -0.148
Te -2.668 1.888 -2.376
Sb -1.737 4.775 -2.858
```

## Properties
**Uncorrected formation energy**: -0.4646 eV per atom
**Space-group type**: Imm2 (44)
**E_tot**: -11.3 eV per cell
**Relative energy among the computed polymorphs**: 0.077 eV per atom
**Fermi-level density of states**: 0.42 states/eV/atom

[3]
DFT (PBE) results for crystalline ErScP2 at its relaxed geometry.

extended XYZ file:
```
4
Lattice="3.841 0.000 0.000 1.920 3.326 0.000 1.920 1.109 6.545" Properties=species:S:1:pos:R:3 pbc="T T T"
P 1.920 1.109 4.855
P 1.920 1.109 1.695
Er 5.761 3.326 6.494
Sc 3.841 2.217 3.318
```

## Properties
**Space-group type**: R3m (160)
**ΔH_f (0 K)**: -1.38 eV/atom
**E_tot**: -27.2 eV per cell
**Relative energy among the computed polymorphs**: 0.164 eV per atom
**Fermi-level density of states**: 0.09 states/eV/atom

[4]
DFT (PBE) results for crystalline NaSn2C2 at its relaxed geometry.

extended XYZ file:
```
10
Lattice="-7.900 -2.536 0.522 1.696 -6.335 -5.109 0.798 -1.936 2.666" Properties=species:S:1:pos:R:3 pbc="T T T"
Sn -0.602 -2.594 -1.704
Sn -5.602 -6.278 -2.884
Sn -4.888 -2.609 -0.432
Sn -1.316 -6.263 -4.155
C -2.405 -8.354 -3.193
C -6.298 -6.164 -0.437
C 0.892 -4.644 -1.485
C -3.002 -2.454 1.271
Na 0.000 0.000 0.000
Na -3.102 -4.436 -2.294
```

## Properties
**Space-group type**: P4/mbm (127)
**ΔH_f (0 K)**: 1.04 eV/atom
**E_tot**: -45.2 eV per cell
**Relative energy among the computed polymorphs**: 0.000 eV per atom
**Fermi-level density of states**: 0.63 states/eV/atom